1.
VASP calculation (GGA-PBE) on crystalline Ta3HIr at its relaxed geometry.

ΔE to the lowest computed polymorph in eV per atom: 0.000
Total moment in Bohr magnetons per cell: 0.00
Final energy in eV per atom: -9.727
Volume in Å³ per atom: 14.2

Lattice parameters (Å, degrees): 4.1402 4.1402 4.1402 90.00 90.00 90.00
Closest atoms and distances in Å follow each position.
Element x y z (fractional)
Ta  0.0000  0.0000  0.5000  2 H 2.07
Ta  0.0000  0.5000  0.0000  2 H 2.07
Ta  0.5000  0.0000  0.0000  2 H 2.07
H  0.0000  0.0000  0.0000  6 Ta 2.07
Ir  0.5000  0.5000  0.5000  12 Ta 2.93

=====

2.
VASP calculation (GGA-PBE) on crystalline TaH3Ir at its relaxed geometry.

Total moment in Bohr magnetons per cell: 0.00
Final energy in eV per atom: -5.952
Volume in Å³ per atom: 8.5

Lattice parameters (Å, degrees): 3.4886 3.4886 3.4886 90.00 90.00 90.00
Closest atoms and distances in Å follow each position.
Element x y z (fractional)
Ta  0.0000  0.0000  0.0000  12 H 2.47
H  0.0000  0.5000  0.5000  2 Ir 1.74
H  0.5000  0.0000  0.5000  2 Ir 1.74
H  0.5000  0.5000  0.0000  2 Ir 1.74
Ir  0.5000  0.5000  0.5000  6 H 1.74

=====

3.
VASP calculation (GGA-PBE) on crystalline Ta3HIr at its relaxed geometry.

ΔE to the lowest computed polymorph in eV per atom: 1.897
Total moment in Bohr magnetons per cell: 0.00
Final energy in eV per atom: -7.830
Volume in Å³ per atom: 23.1

Lattice parameters (Å, degrees): 4.8716 4.8716 4.8716 90.00 90.00 90.00
Closest atoms and distances in Å follow each position.
Element x y z (fractional)
Ta  0.0000  0.0000  0.5000  2 Ir 2.44
Ta  0.0000  0.5000  0.0000  2 Ir 2.44
Ta  0.5000  0.0000  0.0000  2 Ir 2.44
H  0.5000  0.5000  0.5000  12 Ta 3.44
Ir  0.0000  0.0000  0.0000  6 Ta 2.44

=====

Please write out number 3 again, unchanged.
VASP calculation (GGA-PBE) on crystalline Ta3HIr at its relaxed geometry.

ΔE to the lowest computed polymorph in eV per atom: 1.897
Total moment in Bohr magnetons per cell: 0.00
Final energy in eV per atom: -7.830
Volume in Å³ per atom: 23.1

Lattice parameters (Å, degrees): 4.8716 4.8716 4.8716 90.00 90.00 90.00
Closest atoms and distances in Å follow each position.
Element x y z (fractional)
Ta  0.0000  0.0000  0.5000  2 Ir 2.44
Ta  0.0000  0.5000  0.0000  2 Ir 2.44
Ta  0.5000  0.0000  0.0000  2 Ir 2.44
H  0.5000  0.5000  0.5000  12 Ta 3.44
Ir  0.0000  0.0000  0.0000  6 Ta 2.44